A relaxed structure of Hf4BSb2. Source: the Alexandria database, functional PBE.

Structure (extended XYZ):
```
7
Lattice="-0.552 -2.130 3.864 -1.145 -3.691 -2.198 6.318 -5.043 0.680" Properties=species:S:1:pos:R:3 pbc="T T T"
Hf -0.573 -1.846 -1.099
Hf 0.559 -6.492 1.618
Hf 4.063 -4.372 0.728
Hf -0.276 -1.065 1.932
B 0.000 0.000 0.000
Sb 3.385 -7.333 1.558
Sb 1.237 -3.531 0.788
```

Properties
Its calculated total energy is -57.54 eV for the cell shown. The calculation puts the energy relative to the lowest polymorph listed for this composition at 13 meV per atom. As for the density of states at the Fermi level: 2.40 states/eV per cell.